# Sr2Cd3Hg4 GGA-PBE relaxed
# Formation energy from the elements in meV/atom: -325
data_Sr2Cd3Hg4
_symmetry_space_group_name_H-M 'C m c e'
_symmetry_Int_Tables_number 64
_symmetry_space_group_name_Hall '-C 2ac 2'
_cell_length_a 6.491
_cell_length_b 17.145
_cell_length_c 8.928
_cell_angle_alpha 90.00
_cell_angle_beta 90.00
_cell_angle_gamma 90.00
loop_
_atom_site_label
_atom_site_type_symbol
_atom_site_fract_x
_atom_site_fract_y
_atom_site_fract_z
Sr1 Sr 0.000 0.116 0.082
Cd1 Cd 0.000 0.000 0.500
Cd2 Cd 0.250 0.218 0.750
Hg1 Hg 0.000 0.180 0.464
Hg2 Hg 0.250 0.046 0.750

=====

# Sr4CdHg GGA-PBE relaxed
# Formation energy from the elements in meV/atom: 318
data_Sr4CdHg
_symmetry_space_group_name_H-M 'F -4 3 m'
_symmetry_Int_Tables_number 216
_symmetry_space_group_name_Hall 'F -4 2 3'
_cell_length_a 10.417
_cell_length_b 10.417
_cell_length_c 10.417
_cell_angle_alpha 90.00
_cell_angle_beta 90.00
_cell_angle_gamma 90.00
loop_
_atom_site_label
_atom_site_type_symbol
_atom_site_fract_x
_atom_site_fract_y
_atom_site_fract_z
Sr1 Sr 0.125 0.125 0.125
Cd1 Cd 0.250 0.250 0.750
Hg1 Hg 0.000 0.000 0.500

=====

# SrCdHg GGA-PBE relaxed
# Formation energy from the elements in meV/atom: -301
data_SrCdHg
_symmetry_space_group_name_H-M 'F -4 3 m'
_symmetry_Int_Tables_number 216
_symmetry_space_group_name_Hall 'F -4 2 3'
_cell_length_a 7.377
_cell_length_b 7.377
_cell_length_c 7.377
_cell_angle_alpha 90.00
_cell_angle_beta 90.00
_cell_angle_gamma 90.00
loop_
_atom_site_label
_atom_site_type_symbol
_atom_site_fract_x
_atom_site_fract_y
_atom_site_fract_z
Sr1 Sr 0.000 0.000 0.000
Cd1 Cd 0.000 0.000 0.500
Hg1 Hg 0.250 0.250 0.750

=====

# Sr2Cd3Hg3 GGA-PBE relaxed
# Formation energy from the elements in meV/atom: -335
data_Sr2Cd3Hg3
_symmetry_space_group_name_H-M 'R 3 m'
_symmetry_Int_Tables_number 160
_symmetry_space_group_name_Hall 'R 3 -2"'
_cell_length_a 5.3700
_cell_length_b 5.3700
_cell_length_c 26.1241
_cell_angle_alpha 90.00
_cell_angle_beta 90.00
_cell_angle_gamma 120.00
loop_
_atom_site_label
_atom_site_type_symbol
_atom_site_fract_x
_atom_site_fract_y
_atom_site_fract_z
Sr1 Sr 0.0000 0.0000 0.0000
Sr2 Sr 0.0000 0.0000 0.4958
Cd1 Cd 0.0000 0.0000 0.2461
Cd2 Cd 0.0000 0.0000 0.7498
Cd3 Cd 0.0000 0.0000 0.8737
Hg1 Hg 0.0000 0.0000 0.1254
Hg2 Hg 0.0000 0.0000 0.3711
Hg3 Hg 0.0000 0.0000 0.6213

=====

# Sr2Cd2Hg5 GGA-PBE relaxed
# Formation energy from the elements in meV/atom: -265
data_Sr2Cd2Hg5
_symmetry_space_group_name_H-M 'I m a 2'
_symmetry_Int_Tables_number 46
_symmetry_space_group_name_Hall 'I 2 -2a'
_cell_length_a 18.833
_cell_length_b 7.588
_cell_length_c 7.303
_cell_angle_alpha 90.00
_cell_angle_beta 90.00
_cell_angle_gamma 90.00
loop_
_atom_site_label
_atom_site_type_symbol
_atom_site_fract_x
_atom_site_fract_y
_atom_site_fract_z
Sr1 Sr 0.120 0.058 0.000
Cd1 Cd 0.000 0.000 0.643
Cd2 Cd 0.250 0.731 0.760
Hg1 Hg 0.034 0.681 0.803
Hg2 Hg 0.157 0.518 0.030
Hg3 Hg 0.250 0.238 0.256

=====

# SrCd6Hg8 GGA-PBE relaxed
# Formation energy from the elements in meV/atom: -65
data_SrCd6Hg8
_symmetry_space_group_name_H-M 'R -3'
_symmetry_Int_Tables_number 148
_symmetry_space_group_name_Hall '-R 3'
_cell_length_a 9.2615
_cell_length_b 9.2615
_cell_length_c 15.9351
_cell_angle_alpha 90.00
_cell_angle_beta 90.00
_cell_angle_gamma 120.00
loop_
_atom_site_label
_atom_site_type_symbol
_atom_site_fract_x
_atom_site_fract_y
_atom_site_fract_z
Sr1 Sr 0.0000 0.0000 0.0000
Cd1 Cd 0.9997 0.1997 0.3763
Hg1 Hg 0.0000 0.0000 0.2195
Hg2 Hg 0.0015 0.3018 0.8750

=====

no.,total moment (μB/cell)
1,0.0
2,0.0
3,0.0
4,0.0
5,0.0
6,0.0